Material: BaDy2Ru
Method: DFT, GGA-PBE
State: relaxed

Cell lengths 3.4922, 3.4922, 10.1077 Å; angles 90.00, 90.00, 90.00 degrees
Element x y z (fractional)
Ba  0.0000  0.0000  0.0000
Dy  0.5000  0.5000  0.3402
Dy  0.5000  0.5000  0.6598
Ru  0.0000  0.0000  0.5000

Space group: P4/mmm, No. 123
E above lowest polymorph: 0.000 eV per atom

=====

Material: KAs3Pb
Method: DFT, GGA-PBE
State: relaxed

Cell lengths 5.5404, 5.5404, 5.5404 Å; angles 90.00, 90.00, 90.00 degrees
Element x y z (fractional)
K  0.0000  0.0000  0.0000
As  0.0000  0.5000  0.5000
As  0.5000  0.0000  0.5000
As  0.5000  0.5000  0.0000
Pb  0.5000  0.5000  0.5000

Space group: Pm-3m, No. 221
E above lowest polymorph: 0.000 eV per atom

=====

Material: VTcC
Method: DFT, GGA-PBE
State: relaxed

Cell lengths 4.9146, 5.3077, 4.9999 Å; angles 90.00, 90.00, 90.00 degrees
Element x y z (fractional)
V  0.0869  0.2500  0.0000
V  0.0869  0.2500  0.5000
V  0.9131  0.7500  0.0000
V  0.9131  0.7500  0.5000
Tc  0.4226  0.6140  0.2500
Tc  0.4226  0.8860  0.7500
Tc  0.5774  0.1140  0.2500
Tc  0.5774  0.3860  0.7500
C  0.1870  0.5585  0.7500
C  0.1870  0.9415  0.2500
C  0.8130  0.0585  0.7500
C  0.8130  0.4415  0.2500

Space group: Pbcm, No. 57
E: -116.522 eV for the cell shown

=====

Material: CaDy2O4
Method: DFT, GGA-PBE
State: relaxed

Cell lengths 6.3832, 6.3832, 5.8196 Å; angles 116.00, 116.00, 31.08 degrees
Element x y z (fractional)
Ca  0.0000  0.0000  0.0000
Dy  0.2898  0.2898  0.2939
Dy  0.7102  0.7102  0.7061
O  0.1386  0.1386  0.4405
O  0.3513  0.3513  0.9867
O  0.6487  0.6487  0.0133
O  0.8614  0.8614  0.5595

Formation energy without anion corrections: -318.7 kJ per mole of atoms
Space group: C2/m, No. 12
E above lowest polymorph: 0.041 eV per atom